TbPrS2: optimized geometry, PBE-GGA.

Results
M_tot ... 0.00 μB/cell
ΔE to the lowest computed polymorph ... 0 kJ/mol of formula units
Theoretical density ... 6.62 g/cm³
VASP energy ... -6.44 eV per atom

a b c (Å): 3.987 3.987 7.020
angles (deg): 106.55 106.55 60.13
Element x y z (fractional)
Tb (0.000, 0.000, 0.000)
Pr (0.500, 0.500, 0.500)
S (0.256, 0.256, 0.767)
S (0.744, 0.744, 0.233)



PrTc3S: optimized geometry, PBE-GGA.

Results
M_tot ... 0.74 μB/cell
Theoretical density ... 8.52 g/cm³
VASP energy ... -7.89 eV per atom

a b c (Å): 4.498 4.498 4.498
angles (deg): 90.00 90.00 90.00
Element x y z (fractional)
Pr (0.000, 0.000, 0.000)
Tc (0.000, 0.500, 0.500)
Tc (0.500, 0.000, 0.500)
Tc (0.500, 0.500, 0.000)
S (0.500, 0.500, 0.500)



Pr3Te2S: optimized geometry, PBE-GGA.

Results
M_tot ... 0.00 μB/cell
Theoretical density ... 6.56 g/cm³
VASP energy ... -5.74 eV per atom

a b c (Å): 4.338 4.338 11.029
angles (deg): 90.00 90.00 120.00
Element x y z (fractional)
Pr (0.000, 0.000, 0.000)
Pr (0.333, 0.667, 0.365)
Pr (0.667, 0.333, 0.635)
Te (0.333, 0.667, 0.820)
Te (0.667, 0.333, 0.180)
S (0.000, 0.000, 0.500)



Pr3TeS2: optimized geometry, PBE-GGA.

Results
M_tot ... 0.01 μB/cell
Theoretical density ... 6.28 g/cm³
VASP energy ... -6.10 eV per atom

a b c (Å): 4.240 4.240 10.439
angles (deg): 90.00 90.00 120.00
Element x y z (fractional)
Pr (0.000, 0.000, 0.000)
Pr (0.333, 0.667, 0.299)
Pr (0.667, 0.333, 0.701)
Te (0.000, 0.000, 0.500)
S (0.333, 0.667, 0.846)
S (0.667, 0.333, 0.154)



Pr2ThS5: optimized geometry, PBE-GGA.

Results
M_tot ... 0.01 μB/cell
Theoretical density ... 5.88 g/cm³
VASP energy ... -6.76 eV per atom

a b c (Å): 12.109 8.272 7.599
angles (deg): 90.00 90.00 90.00
Element x y z (fractional)
Pr (0.178, 0.000, 0.020)
Pr (0.178, 0.500, 0.020)
Pr (0.322, 0.000, 0.520)
Pr (0.322, 0.500, 0.520)
Pr (0.678, 0.000, 0.480)
Pr (0.678, 0.500, 0.480)
Pr (0.822, 0.000, 0.980)
Pr (0.822, 0.500, 0.980)
Th (0.009, 0.250, 0.574)
Th (0.491, 0.750, 0.074)
Th (0.509, 0.250, 0.926)
Th (0.991, 0.750, 0.426)
S (0.001, 0.250, 0.957)
S (0.100, 0.542, 0.662)
S (0.100, 0.958, 0.662)
S (0.187, 0.250, 0.329)
S (0.216, 0.750, 0.301)
S (0.284, 0.250, 0.801)
S (0.313, 0.750, 0.829)
S (0.400, 0.042, 0.162)
S (0.400, 0.458, 0.162)
S (0.499, 0.750, 0.457)
S (0.501, 0.250, 0.543)
S (0.600, 0.542, 0.838)
S (0.600, 0.958, 0.838)
S (0.687, 0.250, 0.171)
S (0.716, 0.750, 0.199)
S (0.784, 0.250, 0.699)
S (0.813, 0.750, 0.671)
S (0.900, 0.042, 0.338)
S (0.900, 0.458, 0.338)
S (0.999, 0.750, 0.043)



PrTl3S6: optimized geometry, PBE-GGA.

Results
M_tot ... 0.01 μB/cell
Theoretical density ... 6.43 g/cm³
VASP energy ... -4.18 eV per atom

a b c (Å): 11.039 4.080 11.601
angles (deg): 90.00 110.55 90.00
Element x y z (fractional)
Pr (0.199, 0.250, 0.054)
Pr (0.801, 0.750, 0.946)
Tl (0.018, 0.750, 0.302)
Tl (0.335, 0.250, 0.440)
Tl (0.404, 0.750, 0.833)
Tl (0.596, 0.250, 0.167)
Tl (0.665, 0.750, 0.560)
Tl (0.982, 0.250, 0.698)
S (0.042, 0.750, 0.900)
S (0.105, 0.250, 0.458)
S (0.234, 0.750, 0.253)
S (0.237, 0.250, 0.804)
S (0.407, 0.750, 0.072)
S (0.440, 0.750, 0.605)
S (0.560, 0.250, 0.395)
S (0.593, 0.250, 0.928)
S (0.763, 0.750, 0.196)
S (0.766, 0.250, 0.747)
S (0.895, 0.750, 0.542)
S (0.958, 0.250, 0.100)



PrTmS3: optimized geometry, PBE-GGA.

Results
M_tot ... 0.00 μB/cell
ΔE to the lowest computed polymorph ... 0 kJ/mol of formula units
Theoretical density ... 5.72 g/cm³
VASP energy ... -6.41 eV per atom

a b c (Å): 6.620 6.620 9.553
angles (deg): 90.00 90.00 145.73
Element x y z (fractional)
Pr (0.247, 0.753, 0.750)
Pr (0.753, 0.247, 0.250)
Tm (0.500, 0.500, 0.000)
Tm (0.500, 0.500, 0.500)
S (0.142, 0.858, 0.063)
S (0.142, 0.858, 0.437)
S (0.413, 0.587, 0.250)
S (0.587, 0.413, 0.750)
S (0.858, 0.142, 0.563)
S (0.858, 0.142, 0.937)



Pr2TmS3: optimized geometry, PBE-GGA.

Results
M_tot ... 0.01 μB/cell
Theoretical density ... 6.61 g/cm³
VASP energy ... -6.40 eV per atom

a b c (Å): 3.982 3.982 10.003
angles (deg): 90.00 90.00 120.00
Element x y z (fractional)
Pr (0.333, 0.667, 0.171)
Pr (0.667, 0.333, 0.829)
Tm (0.000, 0.000, 0.500)
S (0.000, 0.000, 0.000)
S (0.333, 0.667, 0.648)
S (0.667, 0.333, 0.352)